# Li2CoCu, optimized geometry, DFT PBE-GGA
# Volume   48 Å³/cell
# Calculated total energy   -14.7 eV per cell
# E above lowest polymorph   10 meV per atom
# Formation energy   94 meV/atom
# Fermi-level density of states   3.4 states/eV/cell
# Spin magnetization   1.5 μB per formula unit
data_Li2CoCu
_symmetry_space_group_name_H-M 'P 1'
_symmetry_Int_Tables_number 1
_cell_length_a 8.807
_cell_length_b 8.807
_cell_length_c 8.807
_cell_angle_alpha 16.55
_cell_angle_beta 16.55
_cell_angle_gamma 16.55
loop_
_symmetry_equiv_pos_as_xyz
'x,y,z'
loop_
_atom_site_label
_atom_site_fract_x
_atom_site_fract_y
_atom_site_fract_z
Li1 0.249 0.249 0.249
Li2 0.751 0.751 0.751
Co1 0.500 0.500 0.500
Cu1 0.000 0.000 0.000